## SrAlHAu2 (PBE)

Data for a relaxed structure of SrAlHAu2.

Output
M_tot: 0.000 μB per formula unit
DOS at the Fermi energy: 0.0 states/eV/cell
Raw total energy: -13.4 eV per cell
SG: P4/mmm

Cell: 5.844 4.242 5.844 Å, 90.00 90.00 90.00°
Fractional positions:
Au 0.500 0.000 0.000
Au 0.000 0.000 0.500
H 0.000 0.500 0.000
Sr 0.000 0.000 0.000
Al 0.500 0.500 0.500

=====

## TaAlHAu (PBE)

Data for a relaxed structure of TaAlHAu.

Output
M_tot: 0.000 μB per formula unit
DOS at the Fermi energy: 2.0 states/eV/cell
Raw total energy: -22.4 eV per cell
SG: P4mm

Cell: 2.879 2.879 7.523 Å, 90.00 90.00 90.00°
Fractional positions:
H 0.500 0.500 0.216
Ta 0.000 0.000 0.738
Al 0.500 0.500 0.992
Au 0.500 0.500 0.460

=====

## TaAl2HAu (PBE)

Data for a relaxed structure of TaAl2HAu.

Output
M_tot: 0.000 μB per formula unit
DOS at the Fermi energy: 7.4 states/eV/cell
Raw total energy: -19.4 eV per cell
SG: P4/mmm

Cell: 4.677 5.241 4.677 Å, 90.00 90.00 90.00°
Fractional positions:
Al 0.500 0.000 0.000
Al 0.000 0.000 0.500
H 0.500 0.500 0.500
Ta 0.000 0.500 0.000
Au 0.000 0.000 0.000

=====

## TaAlHAu (PBE)

Data for a relaxed structure of TaAlHAu.

Output
M_tot: 0.000 μB per formula unit
DOS at the Fermi energy: 1.0 states/eV/cell
Raw total energy: -22.6 eV per cell
SG: P1

Cell: 2.887 3.053 6.905 Å, 89.48 81.18 67.15°
Fractional positions:
Au 0.240 0.422 0.978
H 0.005 0.429 0.435
Ta 0.718 0.046 0.317
Al 0.115 0.968 0.676

=====

## TaAlHAu (PBE)

Data for a relaxed structure of TaAlHAu.

Output
M_tot: 0.000 μB per formula unit
DOS at the Fermi energy: 3.7 states/eV/cell
Raw total energy: -45.4 eV per cell
SG: Cm

Cell: 6.898 3.270 4.980 Å, 90.00 99.54 90.00°
Fractional positions:
H 0.424 0.000 0.317
H 0.424 0.500 0.817
Au 0.983 0.500 0.992
Au 0.983 0.000 0.492
Ta 0.322 0.500 0.441
Ta 0.322 0.000 0.941
Al 0.676 0.500 0.235
Al 0.676 0.000 0.735

=====

## TaAlHAu (PBE)

Data for a relaxed structure of TaAlHAu.

Output
M_tot: 0.000 μB per formula unit
DOS at the Fermi energy: 1.4 states/eV/cell
Raw total energy: -22.8 eV per cell
SG: Cm

Cell: 3.042 3.043 7.123 Å, 77.53 77.54 59.80°
Fractional positions:
Al 0.446 0.785 0.286
Ta 0.670 0.009 0.611
Au 0.211 0.550 0.984
H 0.968 0.307 0.713